# 1
DFT (meta-GGA SCAN) results for a PBEsol-optimized structure of Sc3PdRh.

```
5
Lattice="-0.587 1.295 -4.637 -3.133 -3.650 -0.623 -3.656 2.920 1.278" Properties=species:S:1:pos:R:3 pbc="T T T"
Sc -1.566 -1.825 -0.311
Sc -1.828 1.460 0.639
Rh 0.000 0.000 0.000
Pd -3.687 0.283 -1.991
Sc -0.293 0.648 -2.318
```

- energy of formation from the pure elements (eV/atom) = -0.2925
- SG = No. 221
- calculated density (g cm⁻³) = 5.0
- crystal system = cubic
- magnetic moment (μB/f.u.) = 0.00

***

# 2
DFT (meta-GGA SCAN) results for a PBEsol-optimized structure of ScPd3Rh.

```
5
Lattice="4.692 0.000 0.000 0.000 4.692 0.000 0.000 0.000 4.692" Properties=species:S:1:pos:R:3 pbc="T T T"
Rh 0.000 0.000 0.000
Pd 0.000 0.000 2.346
Pd 2.346 0.000 0.000
Pd 0.000 2.346 0.000
Sc 2.346 2.346 2.346
```

- energy of formation from the pure elements (eV/atom) = 0.6536
- SG = No. 221
- calculated density (g cm⁻³) = 7.5
- crystal system = cubic
- magnetic moment (μB/f.u.) = 2.03

***

# 3
DFT (meta-GGA SCAN) results for a PBEsol-optimized structure of YPd2RhSe.

```
5
Lattice="4.779 0.000 0.000 0.000 4.891 0.000 0.000 0.000 4.891" Properties=species:S:1:pos:R:3 pbc="T T T"
Y 0.000 0.000 0.000
Se 2.390 2.445 2.445
Pd 0.000 2.445 0.000
Rh 2.390 0.000 0.000
Pd 0.000 0.000 2.445
```

- SG = No. 123
- calculated density (g cm⁻³) = 7.0
- crystal system = tetragonal
- magnetic moment (μB/f.u.) = 0.00
- ΔE_f (raw) (meV per atom) = 848

***

# 4
DFT (meta-GGA SCAN) results for a PBEsol-optimized structure of Si3PdRh.

```
5
Lattice="-0.329 0.316 4.500 -4.258 -1.512 -0.205 1.490 -4.251 0.408" Properties=species:S:1:pos:R:3 pbc="T T T"
Pd 0.000 0.000 0.000
Si 0.745 -2.125 0.204
Rh -1.548 -2.723 2.351
Si -2.129 -0.756 -0.103
Si -0.165 0.158 2.250
```

- SG = No. 221
- calculated density (g cm⁻³) = 5.3
- crystal system = cubic
- magnetic moment (μB/f.u.) = 0.00
- ΔE_f (raw) (meV per atom) = 958

***

# 5
DFT (meta-GGA SCAN) results for a PBEsol-optimized structure of ZrSiPd2Rh.

```
5
Lattice="4.418 0.000 0.000 0.000 4.421 0.000 0.000 0.000 4.421" Properties=species:S:1:pos:R:3 pbc="T T T"
Si 0.000 0.000 0.000
Zr 2.209 2.210 2.210
Pd 0.000 0.000 2.210
Rh 2.209 0.000 0.000
Pd 0.000 2.210 0.000
```

- SG = No. 123
- calculated density (g cm⁻³) = 8.4
- crystal system = tetragonal
- magnetic moment (μB/f.u.) = 0.00
- ΔE_f (raw) (meV per atom) = -285

***

# 6
DFT (meta-GGA SCAN) results for a PBEsol-optimized structure of Sm2PdRh.

```
4
Lattice="4.916 0.000 0.000 2.458 4.258 0.000 2.458 1.419 4.014" Properties=species:S:1:pos:R:3 pbc="T T T"
Sm 2.458 1.419 1.004
Pd 4.916 2.838 2.007
Rh 0.000 0.000 0.000
Sm 7.374 4.258 3.011
```

- energy of formation from the pure elements (eV/atom) = -0.8634
- SG = No. 225
- calculated density (g cm⁻³) = 10.1
- crystal system = cubic
- magnetic moment (μB/f.u.) = 0.00

***

# 7
DFT (meta-GGA SCAN) results for a PBEsol-optimized structure of SrPd2Rh.

```
4
Lattice="-3.676 2.788 0.621 -1.390 1.095 4.306 0.605 4.326 1.611" Properties=species:S:1:pos:R:3 pbc="T T T"
Rh -2.231 4.104 3.269
Pd -1.115 2.052 1.634
Pd -3.346 6.157 4.903
Sr 0.000 0.000 0.000
```

- energy of formation from the pure elements (eV/atom) = -0.0071
- SG = No. 225
- calculated density (g cm⁻³) = 9.4
- crystal system = cubic
- magnetic moment (μB/f.u.) = 0.66

***

# 8
DFT (meta-GGA SCAN) results for a PBEsol-optimized structure of SrPd3Rh.

```
5
Lattice="4.897 0.000 0.000 0.000 4.897 0.000 0.000 0.000 4.897" Properties=species:S:1:pos:R:3 pbc="T T T"
Sr 0.000 0.000 0.000
Pd 0.000 2.448 0.000
Pd 0.000 0.000 2.448
Pd 2.448 0.000 0.000
Rh 2.448 2.448 2.448
```

- energy of formation from the pure elements (eV/atom) = 1.4997
- SG = No. 221
- calculated density (g cm⁻³) = 7.2
- crystal system = cubic
- magnetic moment (μB/f.u.) = 1.78

***

# 9
DFT (meta-GGA SCAN) results for a PBEsol-optimized structure of Ta4Pd9Rh3.

```
16
Lattice="5.499 0.000 0.000 -2.750 4.762 0.000 0.000 0.000 9.019" Properties=species:S:1:pos:R:3 pbc="T T T"
Rh 1.389 3.977 4.510
Pd 1.368 0.790 6.764
Rh 0.000 1.571 4.510
Pd 2.750 3.183 6.764
Pd 2.750 3.183 2.255
Pd 1.368 0.790 2.255
Pd 1.368 2.385 0.000
Ta 0.000 3.175 6.614
Pd 4.131 0.790 2.255
Pd -1.368 2.385 0.000
Ta 0.000 3.175 2.405
Ta 0.000 0.000 0.000
Pd 0.000 4.755 0.000
Rh -1.389 3.977 4.510
Ta 2.750 1.587 4.510
Pd 4.131 0.790 6.764
```

- energy of formation from the pure elements (eV/atom) = -0.5208
- SG = No. 187
- calculated density (g cm⁻³) = 14.0
- crystal system = hexagonal
- magnetic moment (μB/f.u.) = 0.00

***

# 10
DFT (meta-GGA SCAN) results for a PBEsol-optimized structure of Ti2PdRh2.

```
10
Lattice="-0.924 2.148 1.756 -6.720 -1.222 -2.039 -0.764 -4.680 5.322" Properties=species:S:1:pos:R:3 pbc="T T T"
Rh -1.186 -1.873 1.667
Pd -3.742 -2.951 1.641
Ti -6.326 -1.513 0.957
Rh -3.113 -4.494 3.859
Rh -4.370 -1.408 -0.576
Pd 0.000 0.000 0.000
Ti -2.081 -2.242 4.082
Ti -5.570 -3.646 3.963
Ti -2.837 -0.109 1.075
Rh -6.297 -4.029 1.616
```

- energy of formation from the pure elements (eV/atom) = -0.7318
- SG = No. 127
- calculated density (g cm⁻³) = 9.1
- crystal system = tetragonal
- magnetic moment (μB/f.u.) = 0.00

***

# 11
DFT (meta-GGA SCAN) results for a PBEsol-optimized structure of TlPd2Rh2.

```
5
Lattice="-1.546 2.876 -1.651 -1.446 -2.224 -2.520 -3.613 -1.031 5.639" Properties=species:S:1:pos:R:3 pbc="T T T"
Rh -4.107 -0.567 2.857
Tl 0.000 0.000 0.000
Pd -3.327 1.085 0.951
Pd -3.277 -1.465 0.517
Rh -2.498 0.188 -1.389
```

- energy of formation from the pure elements (eV/atom) = 0.3358
- SG = No. 139
- calculated density (g cm⁻³) = 12.3
- crystal system = tetragonal
- magnetic moment (μB/f.u.) = 0.00
- relative energy among the computed polymorphs (eV/atom) = 0.056

***

# 12
DFT (meta-GGA SCAN) results for a PBEsol-optimized structure of TlPd2Rh2.

```
5
Lattice="-3.439 -0.601 0.456 0.511 -3.422 -0.656 2.536 0.903 6.718" Properties=species:S:1:pos:R:3 pbc="T T T"
Rh -1.184 -0.855 3.538
Pd -1.249 -2.234 1.230
Pd 0.857 -0.886 5.289
Rh 0.792 -2.265 2.981
Tl 0.000 0.000 0.000
```

- energy of formation from the pure elements (eV/atom) = 0.2798
- SG = No. 139
- calculated density (g cm⁻³) = 12.3
- crystal system = tetragonal
- magnetic moment (μB/f.u.) = 2.31
- relative energy among the computed polymorphs (eV/atom) = 0.000

***

# 13
DFT (meta-GGA SCAN) results for a PBEsol-optimized structure of PdRhW2.

```
4
Lattice="-3.414 2.101 -1.808 -2.957 -2.238 -2.363 -4.056 -0.629 1.579" Properties=species:S:1:pos:R:3 pbc="T T T"
W -7.820 -0.574 -1.944
Pd -5.213 -0.383 -1.296
W -2.607 -0.191 -0.648
Rh 0.000 0.000 0.000
```

- energy of formation from the pure elements (eV/atom) = 0.5899
- SG = No. 225
- calculated density (g cm⁻³) = 15.9
- crystal system = cubic
- magnetic moment (μB/f.u.) = 0.00

***

# 14
DFT (meta-GGA SCAN) results for a PBEsol-optimized structure of PdRhW3.

```
5
Lattice="-1.400 -3.140 3.060 4.301 -1.608 0.317 0.852 2.956 3.424" Properties=species:S:1:pos:R:3 pbc="T T T"
W 0.426 1.478 1.712
W 2.150 -0.804 0.159
Rh 1.877 -0.896 3.400
Pd 0.000 0.000 0.000
W -0.700 -1.570 1.530
```

- energy of formation from the pure elements (eV/atom) = 2.5766
- SG = No. 221
- calculated density (g cm⁻³) = 13.0
- crystal system = cubic
- magnetic moment (μB/f.u.) = 0.00

***

# 15
DFT (meta-GGA SCAN) results for a PBEsol-optimized structure of Y2PdRh.

```
4
Lattice="-1.146 -3.489 3.140 -2.095 -4.064 -1.563 2.473 -4.150 0.008" Properties=species:S:1:pos:R:3 pbc="T T T"
Y -0.192 -2.926 0.396
Pd -0.384 -5.851 0.793
Rh 0.000 0.000 0.000
Y -0.575 -8.777 1.189
```

- energy of formation from the pure elements (eV/atom) = -0.9757
- SG = No. 225
- calculated density (g cm⁻³) = 8.1
- crystal system = cubic
- magnetic moment (μB/f.u.) = 0.00

***

# 16
DFT (meta-GGA SCAN) results for a PBEsol-optimized structure of Y2PdRh2.

```
10
Lattice="-0.506 -3.663 -0.940 -0.585 -1.674 6.838 -6.977 1.050 -0.340" Properties=species:S:1:pos:R:3 pbc="T T T"
Rh -2.651 0.168 0.771
Pd -3.781 -0.312 3.249
Rh -4.911 -0.791 5.727
Y -2.991 -2.870 5.051
Y -5.076 -1.416 0.507
Rh -6.278 0.295 2.227
Rh -1.284 -0.919 4.271
Pd 0.000 0.000 0.000
Y -6.394 -2.099 3.876
Y -1.673 -2.187 1.682
```

- energy of formation from the pure elements (eV/atom) = -0.8400
- SG = No. 127
- calculated density (g cm⁻³) = 8.6
- crystal system = tetragonal
- magnetic moment (μB/f.u.) = 0.00

***

# 17
DFT (meta-GGA SCAN) results for a PBEsol-optimized structure of Zn2PdRh.

```
4
Lattice="-1.781 3.508 -1.531 0.274 0.881 -4.120 -3.429 -0.269 -2.449" Properties=species:S:1:pos:R:3 pbc="T T T"
Zn -3.702 3.090 -6.075
Rh -2.468 2.060 -4.050
Zn -1.234 1.030 -2.025
Pd 0.000 0.000 0.000
```

- energy of formation from the pure elements (eV/atom) = -0.5297
- SG = No. 225
- calculated density (g cm⁻³) = 10.6
- crystal system = cubic
- magnetic moment (μB/f.u.) = 0.00

***

# 18
DFT (meta-GGA SCAN) results for a PBEsol-optimized structure of Zn3PdRh.

```
5
Lattice="4.540 0.000 0.000 0.000 4.540 0.000 0.000 0.000 4.540" Properties=species:S:1:pos:R:3 pbc="T T T"
Zn 0.000 2.270 0.000
Rh 2.270 2.270 2.270
Zn 2.270 0.000 0.000
Zn 0.000 0.000 2.270
Pd 0.000 0.000 0.000
```

- energy of formation from the pure elements (eV/atom) = 0.5799
- SG = No. 221
- calculated density (g cm⁻³) = 7.2
- crystal system = cubic
- magnetic moment (μB/f.u.) = 0.00

***

# 19
DFT (meta-GGA SCAN) results for a PBEsol-optimized structure of Sc3PdRu.

```
5
Lattice="4.833 0.000 0.000 0.000 4.833 0.000 0.000 0.000 4.833" Properties=species:S:1:pos:R:3 pbc="T T T"
Sc 0.000 0.000 2.417
Sc 2.417 0.000 0.000
Pd 2.417 2.417 2.417
Sc 0.000 2.417 0.000
Ru 0.000 0.000 0.000
```

- energy of formation from the pure elements (eV/atom) = -0.1382
- SG = No. 221
- calculated density (g cm⁻³) = 5.0
- crystal system = cubic
- magnetic moment (μB/f.u.) = 0.00
- relative energy among the computed polymorphs (eV/atom) = 0.000

***

# 20
DFT (meta-GGA SCAN) results for a PBEsol-optimized structure of Sc3PdRu.

```
5
Lattice="4.835 0.000 0.000 0.000 4.835 0.000 0.000 0.000 4.835" Properties=species:S:1:pos:R:3 pbc="T T T"
Ru 2.417 2.417 2.417
Sc 0.000 0.000 2.417
Sc 2.417 0.000 0.000
Sc 0.000 2.417 0.000
Pd 0.000 0.000 0.000
```

- energy of formation from the pure elements (eV/atom) = 0.2958
- SG = No. 221
- calculated density (g cm⁻³) = 5.0
- crystal system = cubic
- magnetic moment (μB/f.u.) = 0.00
- relative energy among the computed polymorphs (eV/atom) = 0.434

***

# 21
DFT (meta-GGA SCAN) results for a PBEsol-optimized structure of PdRuSe2.

```
4
Lattice="3.008 0.000 0.000 1.504 2.605 0.000 1.504 0.868 8.578" Properties=species:S:1:pos:R:3 pbc="T T T"
Se 4.512 2.605 2.325
Ru 0.000 0.000 0.000
Se 1.504 0.868 6.253
Pd 3.008 1.737 4.289
```

- SG = No. 166
- calculated density (g cm⁻³) = 9.0
- crystal system = trigonal
- magnetic moment (μB/f.u.) = 0.00
- ΔE_f (raw) (meV per atom) = 401

***

# 22
DFT (meta-GGA SCAN) results for a PBEsol-optimized structure of Si2PdRu2.

```
10
Lattice="2.819 0.000 0.000 0.000 6.826 0.000 0.000 0.000 6.826" Properties=species:S:1:pos:R:3 pbc="T T T"
Ru 1.409 4.436 5.802
Si 0.000 4.414 1.001
Pd 0.000 0.000 0.000
Si 0.000 1.001 2.412
Pd 0.000 3.413 3.413
Si 0.000 5.825 4.414
Ru 1.409 5.802 2.389
Ru 1.409 1.024 4.436
Si 0.000 2.412 5.825
Ru 1.409 2.389 1.024
```

- SG = No. 127
- calculated density (g cm⁻³) = 9.2
- crystal system = tetragonal
- magnetic moment (μB/f.u.) = 0.00
- ΔE_f (raw) (meV per atom) = -564

***

# 23
DFT (meta-GGA SCAN) results for a PBEsol-optimized structure of Sm2PdRu.

```
4
Lattice="4.895 0.000 0.000 2.447 4.239 0.000 2.447 1.413 3.997" Properties=species:S:1:pos:R:3 pbc="T T T"
Sm 7.342 4.239 2.997
Pd 0.000 0.000 0.000
Ru 4.895 2.826 1.998
Sm 2.447 1.413 0.999
```

- energy of formation from the pure elements (eV/atom) = -0.5846
- SG = No. 225
- calculated density (g cm⁻³) = 10.2
- crystal system = cubic
- magnetic moment (μB/f.u.) = 0.00

***

# 24
DFT (meta-GGA SCAN) results for a PBEsol-optimized structure of TlPd3Ru.

```
5
Lattice="4.737 0.000 0.000 0.000 4.737 0.000 0.000 0.000 4.737" Properties=species:S:1:pos:R:3 pbc="T T T"
Ru 0.000 0.000 0.000
Tl 2.369 2.369 2.369
Pd 0.000 0.000 2.369
Pd 0.000 2.369 0.000
Pd 2.369 0.000 0.000
```

- energy of formation from the pure elements (eV/atom) = 1.0126
- SG = No. 221
- calculated density (g cm⁻³) = 9.8
- crystal system = cubic
- magnetic moment (μB/f.u.) = 1.85

***

# 25
DFT (meta-GGA SCAN) results for a PBEsol-optimized structure of Tm2PdRu.

```
4
Lattice="4.731 0.000 0.000 2.365 4.097 0.000 2.365 1.366 3.863" Properties=species:S:1:pos:R:3 pbc="T T T"
Ru 4.731 2.731 1.931
Tm 2.365 1.366 0.966
Tm 7.096 4.097 2.897
Pd 0.000 0.000 0.000
```

- energy of formation from the pure elements (eV/atom) = -0.8380
- SG = No. 225
- calculated density (g cm⁻³) = 12.1
- crystal system = cubic
- magnetic moment (μB/f.u.) = 0.00

***

# 26
DFT (meta-GGA SCAN) results for a PBEsol-optimized structure of Pd2RuW.

```
4
Lattice="4.354 0.000 0.000 2.177 3.771 0.000 2.177 1.257 3.555" Properties=species:S:1:pos:R:3 pbc="T T T"
Pd 2.177 1.257 0.889
Pd 6.531 3.771 2.666
Ru 0.000 0.000 0.000
W 4.354 2.514 1.778
```

- energy of formation from the pure elements (eV/atom) = 0.5281
- SG = No. 225
- calculated density (g cm⁻³) = 14.2
- crystal system = cubic
- magnetic moment (μB/f.u.) = 0.00

***

# 27
DFT (meta-GGA SCAN) results for a PBEsol-optimized structure of Y2PdRu.

```
4
Lattice="4.807 0.000 0.000 2.404 4.163 0.000 2.404 1.388 3.925" Properties=species:S:1:pos:R:3 pbc="T T T"
Pd 4.807 2.775 1.963
Y 2.404 1.388 0.981
Ru 0.000 0.000 0.000
Y 7.211 4.163 2.944
```

- energy of formation from the pure elements (eV/atom) = -0.7105
- SG = No. 225
- calculated density (g cm⁻³) = 8.1
- crystal system = cubic
- magnetic moment (μB/f.u.) = 0.00

***

# 28
DFT (meta-GGA SCAN) results for a PBEsol-optimized structure of Pd3SeS.

```
5
Lattice="-2.042 2.190 3.498 -0.458 -3.999 2.236 4.102 0.643 1.991" Properties=species:S:1:pos:R:3 pbc="T T T"
Pd 2.051 0.322 0.996
S 0.801 -0.583 3.863
Pd -0.229 -2.000 1.118
Pd -1.021 1.095 1.749
Se 0.000 0.000 0.000
```

- SG = No. 221
- calculated density (g cm⁻³) = 7.3
- crystal system = cubic
- magnetic moment (μB/f.u.) = 0.00
- ΔE_f (raw) (meV per atom) = 428

***

The evaluated N(E_F) for the records listed, in turn: 3.3; 4.4; 2.4; 3.5; 4.9; 1.8; 4.2; 2.5; 4.3; 4.1; 4.4; 3.9; 5.1; 6.6; 1.8; 1.8; 1.3; 2.9; 2.7; 3.6; 3.4; 2.8; 2.0; 5.2; 1.3; 4.5; 1.6; 3.8 states/eV/f.u..